1.
Material: ScBS2
Method: DFT, PBE-GGA
State: optimized geometry

## Properties
size of the total moment: 0.0 Bohr magnetons per cell
calculated total energy: -5.8212 eV/atom
space group: No. 166
uncorrected formation energy: -0.505 eV/atom

a b c (Å): 6.9213 6.9213 6.9213
angles (deg): 30.18 30.18 30.18
Closest atoms and distances in Å follow each position.
Fractional coordinates of all 4 atoms:
1 Sc 0.5000 0.5000 0.5000  6 S 2.60
2 S 0.9124 0.9124 0.9124  1 B 1.73
3 S 0.0876 0.0876 0.0876  1 B 1.73
4 B 0.0000 0.0000 0.0000  2 S 1.73

***

2.
Material: Sc2BS
Method: DFT, PBE-GGA
State: optimized geometry

## Properties
size of the total moment: 0.0 Bohr magnetons per cell
calculated total energy: -6.2919 eV/atom
space group: No. 225
uncorrected formation energy: -0.425 eV/atom

a b c (Å): 4.4334 4.4334 4.4334
angles (deg): 60.00 60.00 60.00
Closest atoms and distances in Å follow each position.
Fractional coordinates of all 4 atoms:
1 Sc 0.2500 0.2500 0.2500  4 B 2.71, 4 S 2.71
2 Sc 0.7500 0.7500 0.7500  4 B 2.71, 4 S 2.71
3 S 0.5000 0.5000 0.5000  8 Sc 2.71
4 B 0.0000 0.0000 0.0000  8 Sc 2.71

***

3.
Material: Sc3BS6
Method: DFT, PBE-GGA
State: optimized geometry

## Properties
size of the total moment: 0.0 Bohr magnetons per cell
calculated total energy: -6.5007 eV/atom
space group: No. 36
uncorrected formation energy: -1.457 eV/atom

a b c (Å): 5.9652 8.0162 8.0162
angles (deg): 102.14 90.00 90.00
Closest atoms and distances in Å follow each position.
Fractional coordinates of all 20 atoms:
1 Sc 0.4888 0.9171 0.7184  7 S 2.53-2.83
2 Sc 0.9888 0.7184 0.9171  7 S 2.53-2.83
3 Sc 0.3794 0.4035 0.5965  6 S 2.57-2.62
4 Sc 0.8794 0.5965 0.4035  6 S 2.57-2.62
5 Sc 0.9888 0.0829 0.2816  7 S 2.53-2.83
6 Sc 0.4888 0.2816 0.0829  7 S 2.53-2.83
7 B 0.0327 0.1985 0.8015  4 S 1.93-1.96
8 B 0.5327 0.8015 0.1985  4 S 1.93-1.96
9 S 0.1831 0.6988 0.6283  4 Sc 2.53-2.60
10 S 0.6831 0.6283 0.6988  4 Sc 2.53-2.60
11 S 0.1812 0.4154 0.8908  1 B 1.95
12 S 0.6812 0.8908 0.4154  1 B 1.95
13 S 0.1570 0.0531 0.9469  1 B 1.96
14 S 0.7102 0.2089 0.7911  1 B 1.93
15 S 0.2102 0.7911 0.2089  1 B 1.93
16 S 0.6570 0.9469 0.0531  1 B 1.96
17 S 0.1812 0.1092 0.5846  1 B 1.95
18 S 0.6812 0.5846 0.1092  1 B 1.95
19 S 0.1831 0.3717 0.3012  4 Sc 2.53-2.60
20 S 0.6831 0.3012 0.3717  4 Sc 2.53-2.60

***

4.
Material: Sc4BS3
Method: DFT, PBE-GGA
State: optimized geometry

## Properties
size of the total moment: 0.0 Bohr magnetons per cell
calculated total energy: -7.1183 eV/atom
space group: No. 65
uncorrected formation energy: -1.570 eV/atom

a b c (Å): 3.6260 6.3378 6.3378
angles (deg): 108.96 90.00 90.00
Closest atoms and distances in Å follow each position.
Fractional coordinates of all 8 atoms:
1 Sc 0.0000 0.2250 0.2250  2 B 2.46, 4 S 2.59-2.72
2 Sc 0.5000 0.7677 0.2323  1 B 2.40, 4 S 2.59
3 Sc 0.0000 0.7750 0.7750  2 B 2.46, 4 S 2.59-2.72
4 Sc 0.5000 0.2323 0.7677  1 B 2.40, 4 S 2.59
5 S 0.0000 0.0000 0.5000  6 Sc 2.59
6 S 0.5000 0.5000 0.5000  6 Sc 2.72-2.76
7 S 0.0000 0.5000 0.0000  6 Sc 2.59
8 B 0.5000 0.0000 0.0000  6 Sc 2.40-2.46

***

5.
Material: Sc2BS
Method: DFT, PBE-GGA
State: optimized geometry

## Properties
size of the total moment: 0.0 Bohr magnetons per cell
calculated total energy: -6.4839 eV/atom
space group: No. 122
uncorrected formation energy: -0.617 eV/atom

a b c (Å): 6.4731 6.4731 5.6647
angles (deg): 55.15 55.15 90.00
Closest atoms and distances in Å follow each position.
Fractional coordinates of all 8 atoms:
1 Sc 0.5966 0.1250 0.2500  2 B 2.32, 2 S 2.56
2 Sc 0.1534 0.6250 0.2500  2 B 2.32, 2 S 2.56
3 Sc 0.3750 0.4034 0.7500  2 B 2.32, 2 S 2.56
4 Sc 0.8750 0.8466 0.7500  2 B 2.32, 2 S 2.56
5 S 0.0000 0.0000 0.0000  4 Sc 2.56
6 S 0.7500 0.2500 0.5000  4 Sc 2.56
7 B 0.5000 0.5000 0.0000  4 Sc 2.32
8 B 0.2500 0.7500 0.5000  4 Sc 2.32

***

6.
Material: ScSiBS2
Method: DFT, PBE-GGA
State: optimized geometry

## Properties
size of the total moment: 0.0 Bohr magnetons per cell
calculated total energy: -5.2458 eV/atom
space group: No. 123
uncorrected formation energy: 0.092 eV/atom

a b c (Å): 4.5663 3.8241 4.5663
angles (deg): 90.00 90.00 90.00
Closest atoms and distances in Å follow each position.
Fractional coordinates of all 5 atoms:
1 Sc 0.5000 0.5000 0.5000  8 S 2.98, 4 Si 3.23
2 S 0.0000 0.0000 0.5000  2 B 2.28
3 S 0.5000 0.0000 0.0000  2 B 2.28
4 B 0.0000 0.0000 0.0000  2 Si 1.91
5 Si 0.0000 0.5000 0.0000  2 B 1.91

***

7.
Material: Sc2TaBS
Method: DFT, PBE-GGA
State: optimized geometry

## Properties
size of the total moment: 0.0 Bohr magnetons per cell
calculated total energy: -6.6644 eV/atom
space group: No. 123
uncorrected formation energy: 0.400 eV/atom

a b c (Å): 4.6792 4.4944 4.6792
angles (deg): 90.00 90.00 90.00
Closest atoms and distances in Å follow each position.
Fractional coordinates of all 5 atoms:
1 Sc 0.0000 0.0000 0.5000  2 S 2.34
2 Sc 0.5000 0.0000 0.0000  2 S 2.34
3 S 0.0000 0.0000 0.0000  2 Ta 2.25, 4 Sc 2.34
4 B 0.5000 0.5000 0.5000  8 Sc 3.24, 4 Ta 3.31
5 Ta 0.0000 0.5000 0.0000  2 S 2.25

***

8.
Material: ScTl2B2S6
Method: DFT, PBE-GGA
State: optimized geometry

## Properties
size of the total moment: 0.0 Bohr magnetons per cell
calculated total energy: -5.0807 eV/atom
space group: No. 166
uncorrected formation energy: -0.609 eV/atom

a b c (Å): 6.5116 6.5116 8.1470
angles (deg): 66.44 66.44 60.00
Closest atoms and distances in Å follow each position.
Fractional coordinates of all 11 atoms:
1 Sc 0.0000 0.0000 0.0000  6 S 2.58
2 Tl 0.7845 0.7845 0.6464  9 S 3.37-3.57
3 Tl 0.2155 0.2155 0.3536  9 S 3.37-3.57
4 B 0.4043 0.4043 0.7872  3 S 1.81
5 B 0.5957 0.5957 0.2128  3 S 1.81
6 S 0.7487 0.7487 0.2336  1 B 1.81
7 S 0.2690 0.7487 0.2336  1 B 1.81
8 S 0.7487 0.2690 0.2336  1 B 1.81
9 S 0.2513 0.7310 0.7664  1 B 1.81
10 S 0.7310 0.2513 0.7664  1 B 1.81
11 S 0.2513 0.2513 0.7664  1 B 1.81